{"formula": "MnFe3Pt12", "functional": "PBE", "state": "optimized geometry", "space_group": "P4/mmm, No. 123", "density_g_cm3": 17.68, "delta_e_f_kcal_per_mol_atoms": -5.84, "m_tot_mub_per_fu": 9.26, "lattice_angstrom": [[3.9287, 0.0000, 0.0000], [0.0000, 3.9287, 0.0000], [0.0000, 0.0000, 15.5970]], "species": ["Mn", "Fe", "Fe", "Fe", "Pt", "Pt", "Pt", "Pt", "Pt", "Pt", "Pt", "Pt", "Pt", "Pt", "Pt", "Pt"], "fractional_positions": [[0.0000, 0.0000, 0.0000], [0.0000, 0.0000, 0.2481], [0.0000, 0.0000, 0.5000], [0.0000, 0.0000, 0.7519], [0.0000, 0.5000, 0.1269], [0.0000, 0.5000, 0.3754], [0.0000, 0.5000, 0.6246], [0.0000, 0.5000, 0.8731], [0.5000, 0.0000, 0.1269], [0.5000, 0.0000, 0.3754], [0.5000, 0.0000, 0.6246], [0.5000, 0.0000, 0.8731], [0.5000, 0.5000, 0.0000], [0.5000, 0.5000, 0.2511], [0.5000, 0.5000, 0.5000], [0.5000, 0.5000, 0.7489]]}

***

{"formula": "CuSbRu2", "functional": "PBE", "state": "optimized geometry", "space_group": "Pmmm, No. 47", "formation_energy_uncorrected_ev_per_atom": 0.3960, "density_g_cm3": 10.37, "m_tot_mub_per_fu": 0.00, "lattice_angstrom": [[2.9951, 0.0000, 0.0000], [0.0000, 4.3659, 0.0000], [0.0000, 0.0000, 4.7456]], "species": ["Cu", "Sb", "Ru", "Ru"], "fractional_positions": [[0.0000, 0.0000, 0.0000], [0.5000, 0.0000, 0.5000], [0.0000, 0.5000, 0.5000], [0.5000, 0.5000, 0.0000]]}

***

{"formula": "ThInCuRu", "functional": "PBE", "state": "optimized geometry", "space_group": "F-43m, No. 216", "density_g_cm3": 10.58, "delta_e_f_kcal_per_mol_atoms": -3.75, "m_tot_mub_per_fu": 0.00, "lattice_angstrom": [[0.0000, 3.4236, 3.4236], [3.4236, 0.0000, 3.4236], [3.4236, 3.4236, 0.0000]], "species": ["Th", "In", "Cu", "Ru"], "fractional_positions": [[0.0000, 0.0000, 0.0000], [0.5000, 0.5000, 0.5000], [0.7500, 0.7500, 0.7500], [0.2500, 0.2500, 0.2500]]}